Entry from the Alexandria database: an optimized crystal structure of RbScAgBr6 (PBE-GGA).

POSCAR file:
```
RbScAgBr6
1.0
7.147 0.000 0.000
3.574 6.190 0.000
0.000 0.000 7.537
Br Sc Ag Rb
6 1 1 1
Direct
0.987 0.624 0.710 Br
0.624 0.390 0.710 Br
0.987 0.390 0.290 Br
0.390 0.987 0.710 Br
0.624 0.987 0.290 Br
0.390 0.624 0.290 Br
0.667 0.667 0.500 Sc
0.333 0.333 0.500 Ag
0.000 0.000 0.000 Rb
```

Properties
The calculation puts the density of states at the Fermi level at 8.5 states/eV/cell. For the energy relative to the elements, uncorrected, the calculation gives -1.2011 eV per atom. The total energy comes out at -30.997 eV per cell. The magnetization comes out at 1.05 μB/cell.